# BaIn6Ag6 PBE relaxed
data_BaIn6Ag6
_chemical_formula_sum 'Ba1 In6 Ag6'
_space_group_name_H-M_alt 'P 1'
_space_group_IT_number 1
_cell_length_a 5.8471
_cell_length_b 7.6815
_cell_length_c 7.6815
_cell_angle_alpha 81.28
_cell_angle_beta 67.63
_cell_angle_gamma 67.63
loop_
_space_group_symop_operation_xyz
'x,y,z'
loop_
_atom_site_label
_atom_site_type_symbol
_atom_site_fract_x
_atom_site_fract_y
_atom_site_fract_z
In1 In 0.7021 0.7979 0.7979
In2 In 0.6480 0.3520 0.3520
In3 In 0.0000 0.3492 0.6508
In4 In 0.0000 0.6508 0.3492
In5 In 0.3520 0.6480 0.6480
In6 In 0.2979 0.2021 0.2021
Ag1 Ag 0.5000 0.7709 0.2291
Ag2 Ag 0.5000 0.5000 0.0000
Ag3 Ag 0.5000 0.0000 0.5000
Ag4 Ag 0.0000 0.0000 0.5000
Ag5 Ag 0.0000 0.5000 0.0000
Ag6 Ag 0.5000 0.2291 0.7709
Ba1 Ba 0.0000 0.0000 0.0000
# - E_tot (Ry per atom) = -0.21295
# - total moment (μB per formula unit) = 0.0